Density functional theory data (GGA-PBE) for crystalline NaCdPt2Br at its relaxed geometry.

abc: 4.932 4.978 4.932
angles: 90.00 90.00 90.00
Fractional positions:
Na: 0.000 0.500 0.000
Pt: 0.000 0.000 0.500
Pt: 0.500 0.000 0.000
Br: 0.000 0.000 0.000
Cd: 0.500 0.500 0.500

Calculated values
- Magnetic moment: 0.00 μB/cell
- Electronic total energy: -0.201 Ry/atom